DFT (PBE-GGA) results for a relaxed ScMo2W crystal.

a = 5.857 Å, b = 5.857 Å, c = 5.857 Å
α = 102.97°, β = 102.97°, γ = 123.44°
Element x y z (fractional)
Sc1 0.000 0.000 0.000
Sc2 0.750 0.250 0.500
Mo1 0.153 0.625 0.028
Mo2 0.375 0.403 0.528
Mo3 0.597 0.125 0.972
Mo4 0.875 0.847 0.472
W1 0.250 0.750 0.500
W2 0.500 0.500 0.000

Summary:
Energy above the most stable polymorph in this dataset, meV per atom: 652
Energy of formation from the pure elements, meV per atom: 718
DOS(E_F), states/eV per atom: 0.87


DFT (PBE-GGA) results for a relaxed ScMoW3 crystal.

a = 4.765 Å, b = 4.765 Å, c = 4.765 Å
α = 90.00°, β = 90.00°, γ = 90.00°
Element x y z (fractional)
Sc1 0.000 0.000 0.000
Mo1 0.500 0.500 0.500
W1 0.000 0.500 0.500
W2 0.500 0.000 0.500
W3 0.500 0.500 0.000

Summary:
Energy above the most stable polymorph in this dataset, meV per atom: 0
Energy of formation from the pure elements, meV per atom: 1661
DOS(E_F), states/eV per atom: 1.63


DFT (PBE-GGA) results for a relaxed ScMo2W crystal.

a = 5.433 Å, b = 5.433 Å, c = 5.433 Å
α = 139.12°, β = 139.12°, γ = 59.19°
Element x y z (fractional)
Sc1 0.000 0.000 0.000
Mo1 0.500 0.500 0.000
Mo2 0.750 0.250 0.500
W1 0.250 0.750 0.500

Summary:
Energy above the most stable polymorph in this dataset, meV per atom: 245
Energy of formation from the pure elements, meV per atom: 311
DOS(E_F), states/eV per atom: 0.94


DFT (PBE-GGA) results for a relaxed ScMo2W crystal.

a = 4.903 Å, b = 4.903 Å, c = 5.364 Å
α = 91.63°, β = 91.63°, γ = 32.03°
Element x y z (fractional)
Sc1 0.000 0.000 0.000
Mo1 0.504 0.504 0.500
Mo2 0.749 0.749 0.753
W1 0.256 0.256 0.255

Summary:
Energy above the most stable polymorph in this dataset, meV per atom: 244
Energy of formation from the pure elements, meV per atom: 310
DOS(E_F), states/eV per atom: 0.93